Entry 1:
3
Lattice="-5.0077 -0.7735 1.3032 -3.7132 3.1668 -1.8862 -3.3878 -1.7764 -3.5696" Properties=species:S:1:pos:R:3 comment="KHfPa | OQMD | PBE | optimized geometry" relative_energy_kj_per_mol_fu=0.0 total_energy_ev_per_fu=-14.80 pbc="T T T"
Hf 0.0000 0.0000 0.0000
K -3.0272 0.1542 -1.0381
Pa -9.0815 0.4627 -3.1144

---

Entry 2:
3
Lattice="-1.4134 1.1944 4.2871 -4.4799 1.0695 0.7680 -2.7050 -2.9041 2.4602" Properties=species:S:1:pos:R:3 comment="PaZnSi | OQMD | PBE | optimized geometry" total_energy_ev_per_fu=-15.22 pbc="T T T"
Pa 0.0000 0.0000 0.0000
Si -2.1496 -0.1600 1.8788
Zn -6.4487 -0.4801 5.6364

---

Entry 3:
16
Lattice="4.3484 0.0000 0.0000 0.0000 4.9120 0.0000 0.0000 0.0000 7.0461" Properties=species:S:1:pos:R:3 comment="TaBNO | OQMD | PBE | optimized geometry" relative_energy_kj_per_mol_fu=66.9 total_energy_ev_per_fu=-36.01 pbc="T T T"
B 2.6161 2.2015 2.7953
B 3.9065 4.6575 2.7953
B 0.4419 2.2015 4.2508
B 1.7323 4.6575 4.2508
N 2.2593 2.2024 1.4466
N 4.2633 4.6584 1.4466
N 0.0851 2.2024 5.5995
N 2.0891 4.6584 5.5995
O 4.0156 2.1998 3.0757
O 2.5070 4.6558 3.0757
O 1.8414 2.1998 3.9704
O 0.3328 4.6558 3.9704
Ta 0.1464 2.2262 0.8256
Ta 2.0278 4.6822 0.8256
Ta 2.3206 2.2262 6.2205
Ta 4.2020 4.6822 6.2205

---

Entry 4:
4
Lattice="0.0000 3.4159 3.4159 3.4159 0.0000 3.4159 3.4159 3.4159 0.0000" Properties=species:S:1:pos:R:3 comment="Hf2AgAs | OQMD | PBE | optimized geometry" total_energy_ev_per_fu=-25.98 pbc="T T T"
Ag 1.7079 1.7079 1.7079
As 3.4159 3.4159 3.4159
Hf 0.0000 0.0000 0.0000
Hf 5.1238 5.1238 5.1238

---

Entry 5:
12
Lattice="-5.8102 4.3624 1.7000 3.5024 -6.5280 0.8929 5.5291 4.1090 8.3531" Properties=species:S:1:pos:R:3 comment="KTbMgS3 | OQMD | PBE | optimized geometry" total_energy_ev_per_fu=-29.67 pbc="T T T"
K -2.1558 2.7325 3.5914
K 5.3771 -0.7892 7.3546
Mg 4.5733 -5.1366 3.0081
Mg -1.3520 7.0800 7.9379
S 2.7188 -4.9549 1.5093
S 0.8105 -0.7363 3.3343
S 4.7966 -3.4107 4.6484
S -1.5753 5.3541 6.2976
S 2.4108 2.6797 7.6117
S 0.5026 6.8982 9.4367
Tb -1.1539 -1.0828 1.2964
Tb 1.6107 0.9717 5.4730

---

Entry 6:
3
Lattice="-3.9743 -0.0117 0.1976 -2.1508 1.2138 -3.1201 -2.0899 -2.6380 -2.1231" Properties=species:S:1:pos:R:3 comment="BMoPd | OQMD | PBE | optimized geometry" relative_energy_kj_per_mol_fu=0.0 total_energy_ev_per_fu=-19.95 pbc="T T T"
B -2.0538 -0.3590 -1.2614
Mo -6.1613 -1.0769 -3.7842
Pd 0.0000 0.0000 0.0000

---

Entry 7:
4
Lattice="0.0000 3.3333 3.3333 3.3333 0.0000 3.3333 3.3333 3.3333 0.0000" Properties=species:S:1:pos:R:3 comment="HfTa2Au | OQMD | PBE | optimized geometry" total_energy_ev_per_fu=-36.99 e_form_ev_per_atom=-0.02 pbc="T T T"
Au 4.9999 4.9999 4.9999
Hf 3.3333 3.3333 3.3333
Ta 0.0000 0.0000 0.0000
Ta 1.6666 1.6666 1.6666

---

Entry 8:
9
Lattice="-2.1839 -5.1457 -1.3834 1.2432 1.2189 5.4891 -6.9698 2.6945 0.9802" Properties=species:S:1:pos:R:3 comment="Nb3CuSe5 | OQMD | PBE | optimized geometry" total_energy_ev_per_fu=-53.54 pbc="T T T"
Cu 0.0000 0.0000 0.0000
Nb -4.5768 -1.2256 -0.2016
Nb -2.8633 1.9567 3.2347
Nb -3.9552 -0.6162 2.5430
Se -2.6319 -2.4093 1.1311
Se -1.4896 -0.2878 3.4219
Se -3.4849 1.3472 0.4901
Se -6.4209 -0.9445 1.6640
Se -5.2785 1.1770 3.9548